1.
Here is an optimized crystal structure of Al2CoAg from Alexandria via LeMat-Bulk. Energies are from PBE.

Unit cell a=4.845 b=4.845 c=4.327 alpha=72.92 beta=72.92 gamma=36.15
Site moments in Bohr magnetons follow the coordinates.
Positions (direct):
Al 0.999 0.999 0.033  -0.01
Ag 0.244 0.244 0.212  -0.01
Al 0.767 0.767 0.688  -0.01
Co 0.490 0.490 0.568  0.52

Properties
Energy of formation, eV/atom: -0.18
VASP energy, eV/atom: -4.5376

=====

2.
Here is an optimized crystal structure of AlCo2Ag from Alexandria via LeMat-Bulk. Energies are from PBE.

Unit cell a=6.001 b=4.480 c=2.763 alpha=89.96 beta=62.65 gamma=121.88
Site moments in Bohr magnetons follow the coordinates.
Positions (direct):
Al 0.500 0.500 0.000  -0.03
Co 0.500 0.000 0.500  1.16
Ag 0.000 0.500 0.500  0.04
Co 0.000 0.000 0.000  1.16

Properties
Energy of formation, eV/atom: 0.09
VASP energy, eV/atom: -5.1091

=====

3.
Here is an optimized crystal structure of AlCoAg3 from Alexandria via LeMat-Bulk. Energies are from PBE.

Unit cell a=4.797 b=4.797 c=4.797 alpha=90.00 beta=90.00 gamma=90.00
Site moments in Bohr magnetons follow the coordinates.
Positions (direct):
Ag 0.500 0.000 0.000  0.01
Ag 0.000 0.500 0.000  0.02
Al 0.500 0.500 0.500  0.00
Ag 0.000 0.000 0.500  0.07
Co 0.000 0.000 0.000  1.71

Properties
Energy of formation, eV/atom: 0.96
VASP energy, eV/atom: -2.9246

=====

| no. | ρ (kg/m3) | density of states at the Fermi level (states/eV per cell) |
| --- | --- | --- |
| 1 | 6434 | 1.15 |
| 2 | 7911 | 5.84 |
| 3 | 6159 | 7.94 |